HPd3Pt: optimized geometry, GGA-PBE.

The space group is Pc (No. 7) and the conventional cell measures 4.8935, 5.7092 and 4.8643 Å, with angles of 90.00, 108.26 and 90.00 degrees. Symmetry generates all atoms from H at (0.0000, 0.1656, 0.0000), Pd at (0.2558, 0.1268, 0.7059), Pd at (0.2611, 0.3787, 0.2098), Pd at (0.7526, 0.3772, 0.7026) and Pt at (0.7469, 0.1268, 0.2031).

The total DFT energy (no corrections) is -50.019 eV/cell. Its density of states at the Fermi level is 1.570 states/eV per atom. The total magnetization is 0.00 μB per formula unit. The value obtained for the excess energy over the best structure of this formula in the dataset is 0.029 eV/atom. The crystal system is monoclinic.